Entry 1:
Material: ZnRe4Ni
Method: DFT, PBE
State: relaxed

Structure (POSCAR):
```
ZnRe4Ni
1.0
0.000 3.640 3.640
3.640 0.000 3.640
3.640 3.640 0.000
Zn Re Ni
1 4 1
Direct
0.000 0.000 0.000
0.375 0.375 0.375
0.375 0.375 0.874
0.375 0.874 0.375
0.874 0.375 0.375
0.750 0.750 0.750
```

## Properties
Its electronic total energy is -52.87 eV per formula unit. As for the formation energy: 663 meV per atom. For the density of states at the Fermi level, the calculation gives 1.00 states/eV/atom. As for the space group: No. 216.



Entry 2:
Material: Ca3HfP
Method: DFT, PBE
State: relaxed

Structure (POSCAR):
```
Ca3HfP
1.0
5.636 0.000 0.000
0.000 5.636 0.000
0.000 0.000 5.636
Ca Hf P
3 1 1
Direct
0.000 0.000 0.500
0.000 0.500 0.000
0.500 0.000 0.000
0.000 0.000 0.000
0.500 0.500 0.500
```

## Properties
Its electronic total energy is -15.44 eV per formula unit. The calculation puts the energy above the lowest structure with this stoichiometry at 101.72 kJ per mole of atoms. As for the formation energy: 1185 meV per atom. For the density of states at the Fermi level, the calculation gives 1.45 states/eV/atom. As for the space group: No. 221.



Entry 3:
Material: Er5Al4Cu
Method: DFT, PBE
State: relaxed

Structure (POSCAR):
```
Er5Al4Cu
1.0
3.397 0.000 0.000
0.000 3.397 0.000
0.000 0.000 19.300
Er Al Cu
5 4 1
Direct
0.000 0.000 0.000
0.000 0.000 0.205
0.000 0.000 0.410
0.000 0.000 0.590
0.000 0.000 0.795
0.500 0.500 0.103
0.500 0.500 0.308
0.500 0.500 0.692
0.500 0.500 0.897
0.500 0.500 0.500
```

## Properties
Its electronic total energy is -45.56 eV per formula unit. As for the formation energy: -368 meV per atom. For the density of states at the Fermi level, the calculation gives 0.54 states/eV/atom. As for the space group: No. 123.



Entry 4:
Material: Ca3Hg2Pb2
Method: DFT, PBE
State: relaxed

Structure (POSCAR):
```
Ca3Hg2Pb2
1.0
5.166 0.000 0.000
-2.575 5.539 0.000
-0.013 -1.181 7.037
Ca Hg Pb
3 2 2
Direct
0.000 0.000 0.000
0.371 0.741 0.296
0.629 0.259 0.704
0.114 0.228 0.431
0.886 0.772 0.569
0.326 0.651 0.807
0.674 0.349 0.193
```

## Properties
Its electronic total energy is -17.23 eV per formula unit. As for the formation energy: -458 meV per atom. For the density of states at the Fermi level, the calculation gives 0.32 states/eV/atom. As for the space group: No. 2.



Entry 5:
Material: PrYAgRh
Method: DFT, PBE
State: relaxed

Structure (POSCAR):
```
PrYAgRh
1.0
0.000 3.605 3.605
3.605 0.000 3.605
3.605 3.605 0.000
Pr Y Ag Rh
1 1 1 1
Direct
0.000 0.000 0.000
0.500 0.500 0.500
0.750 0.750 0.750
0.250 0.250 0.250
```

## Properties
Its electronic total energy is -23.35 eV per formula unit. As for the formation energy: -475 meV per atom. For the density of states at the Fermi level, the calculation gives 0.92 states/eV/atom. As for the space group: No. 216.



Entry 6:
Material: HOsCBr2
Method: DFT, PBE
State: relaxed

Structure (POSCAR):
```
HOsCBr2
1.0
5.010 0.000 0.000
0.000 5.010 0.000
0.000 0.000 3.839
H Os C Br
1 1 1 2
Direct
0.000 0.000 0.000
0.500 0.500 0.000
0.500 0.500 0.500
0.000 0.500 0.500
0.500 0.000 0.500
```

## Properties
Its electronic total energy is -18.51 eV per formula unit. For the density of states at the Fermi level, the calculation gives 0.63 states/eV/atom. As for the space group: No. 123.



Entry 7:
Material: Sm2Y5Ho12
Method: DFT, PBE
State: relaxed

Structure (POSCAR):
```
Sm2Y5Ho12
1.0
6.146 0.000 0.000
-0.011 9.395 0.000
-1.028 -2.031 10.397
Sm Y Ho
2 5 12
Direct
0.080 0.316 0.473
0.920 0.684 0.527
0.237 0.947 0.420
0.341 0.369 0.053
0.500 0.000 0.000
0.659 0.631 0.947
0.763 0.053 0.580
0.025 0.105 0.157
0.132 0.526 0.789
0.183 0.737 0.105
0.290 0.159 0.738
0.395 0.579 0.368
0.447 0.790 0.685
0.553 0.210 0.315
0.605 0.421 0.632
0.710 0.841 0.262
0.817 0.263 0.895
0.868 0.474 0.211
0.975 0.895 0.843
```

## Properties
Its electronic total energy is -96.27 eV per formula unit. The calculation puts the energy above the lowest structure with this stoichiometry at 0.00 kJ per mole of atoms. As for the formation energy: 22 meV per atom. For the density of states at the Fermi level, the calculation gives 1.42 states/eV/atom. As for the space group: No. 2.



Entry 8:
Material: Ru5Pt
Method: DFT, PBE
State: relaxed

Structure (POSCAR):
```
Ru5Pt
1.0
1.918 -5.759 0.000
1.918 5.759 0.000
0.000 0.000 3.853
Ru Pt
5 1
Direct
0.000 0.000 0.000
0.171 0.829 0.500
0.331 0.669 0.000
0.669 0.331 0.000
0.829 0.171 0.500
0.500 0.500 0.500
```

## Properties
Its electronic total energy is -52.10 eV per formula unit. The calculation puts the energy above the lowest structure with this stoichiometry at 4.58 kJ per mole of atoms. As for the formation energy: 53 meV per atom. For the density of states at the Fermi level, the calculation gives 1.12 states/eV/atom. As for the space group: No. 65.



Entry 9:
Material: Ge2Pb3Au3
Method: DFT, PBE
State: relaxed

Structure (POSCAR):
```
Ge2Pb3Au3
1.0
2.063 -6.413 0.000
2.063 6.413 0.000
0.000 0.000 14.423
Ge Pb Au
4 6 6
Direct
0.227 0.773 0.579
0.227 0.773 0.921
0.773 0.227 0.079
0.773 0.227 0.421
0.052 0.948 0.126
0.052 0.948 0.374
0.372 0.628 0.250
0.628 0.372 0.750
0.948 0.052 0.626
0.948 0.052 0.874
0.304 0.696 0.750
0.395 0.605 0.032
0.395 0.605 0.468
0.605 0.395 0.532
0.605 0.395 0.968
0.696 0.304 0.250
```

## Properties
Its electronic total energy is -30.48 eV per formula unit. As for the formation energy: -36 meV per atom. For the density of states at the Fermi level, the calculation gives 0.37 states/eV/atom. As for the space group: No. 63.



Entry 10:
Material: La2Dy2Tm7
Method: DFT, PBE
State: relaxed

Structure (POSCAR):
```
La2Dy2Tm7
1.0
5.607 -5.752 0.000
5.607 5.752 0.000
-2.476 0.000 5.544
La Dy Tm
2 2 7
Direct
0.099 0.099 0.310
0.901 0.901 0.690
0.290 0.710 0.000
0.710 0.290 0.000
0.088 0.565 0.320
0.272 0.272 0.926
0.435 0.912 0.680
0.500 0.500 0.500
0.565 0.088 0.320
0.728 0.728 0.074
0.912 0.435 0.680
```

## Properties
Its electronic total energy is -48.65 eV per formula unit. The calculation puts the energy above the lowest structure with this stoichiometry at 0.00 kJ per mole of atoms. As for the formation energy: 156 meV per atom. For the density of states at the Fermi level, the calculation gives 1.68 states/eV/atom. As for the space group: No. 12.



Entry 11:
Material: KAlPb
Method: DFT, PBE
State: relaxed

Structure (POSCAR):
```
KAlPb
1.0
6.559 0.000 0.000
0.000 8.502 0.000
-5.011 0.000 6.562
K Al Pb
4 4 4
Direct
0.209 0.210 0.109
0.209 0.290 0.609
0.791 0.710 0.391
0.791 0.790 0.891
0.280 0.579 0.948
0.280 0.921 0.448
0.720 0.079 0.552
0.720 0.421 0.052
0.246 0.588 0.304
0.246 0.912 0.804
0.754 0.088 0.196
0.754 0.412 0.696
```

## Properties
Its electronic total energy is -8.43 eV per formula unit. As for the formation energy: 40 meV per atom. For the density of states at the Fermi level, the calculation gives 0.03 states/eV/atom. As for the space group: No. 14.



Entry 12:
Material: LaHfAs2Br
Method: DFT, PBE
State: relaxed

Structure (POSCAR):
```
LaHfAs2Br
1.0
5.642 0.000 0.000
0.000 5.642 0.000
0.000 0.000 5.480
La Hf As Br
1 1 2 1
Direct
0.000 0.000 0.000
0.500 0.500 0.500
0.000 0.500 0.000
0.500 0.000 0.000
0.000 0.000 0.500
```

## Properties
Its electronic total energy is -23.46 eV per formula unit. The calculation puts the energy above the lowest structure with this stoichiometry at 122.05 kJ per mole of atoms. For the uncorrected formation energy, the calculation gives 0.4789 eV per atom. For the density of states at the Fermi level, the calculation gives 0.98 states/eV/atom. As for the space group: No. 123.



Entry 13:
Material: Sm2S2F
Method: DFT, PBE
State: relaxed

Structure (POSCAR):
```
Sm2S2F
1.0
-1.905 2.767 5.562
1.905 -2.767 5.562
1.905 2.767 -5.562
Sm S F
2 2 1
Direct
0.161 0.161 0.000
0.839 0.839 0.000
0.337 0.837 0.500
0.663 0.163 0.500
0.000 0.500 0.500
```

## Properties
Its electronic total energy is -31.12 eV per formula unit. The calculation puts the energy above the lowest structure with this stoichiometry at 0.00 kJ per mole of atoms. For the uncorrected formation energy, the calculation gives -2.3105 eV per atom. For the density of states at the Fermi level, the calculation gives 0.34 states/eV/atom. As for the space group: No. 71.



Entry 14:
Material: Ac4CdAg2Hg
Method: DFT, PBE
State: relaxed

Structure (POSCAR):
```
Ac4CdAg2Hg
1.0
2.836 1.637 9.287
-2.836 1.637 9.287
0.000 -3.275 9.287
Ac Cd Ag Hg
4 1 2 1
Direct
0.124 0.124 0.124
0.374 0.374 0.374
0.626 0.626 0.626
0.876 0.876 0.876
0.500 0.500 0.500
0.248 0.248 0.248
0.752 0.752 0.752
0.000 0.000 0.000
```

## Properties
Its electronic total energy is -25.92 eV per formula unit. As for the formation energy: -321 meV per atom. For the density of states at the Fermi level, the calculation gives 0.87 states/eV/atom. As for the space group: No. 166.



Entry 15:
Material: Ac2TbTl
Method: DFT, PBE
State: relaxed

Structure (POSCAR):
```
Ac2TbTl
1.0
0.000 4.173 4.173
4.173 0.000 4.173
4.173 4.173 0.000
Ac Tb Tl
2 1 1
Direct
0.250 0.250 0.250
0.750 0.750 0.750
0.000 0.000 0.000
0.500 0.500 0.500
```

## Properties
Its electronic total energy is -15.29 eV per formula unit. The calculation puts the energy above the lowest structure with this stoichiometry at 8.33 kJ per mole of atoms. As for the formation energy: -20 meV per atom. For the density of states at the Fermi level, the calculation gives 1.85 states/eV/atom. As for the space group: No. 225.



Entry 16:
Material: TmTiPt2
Method: DFT, PBE
State: relaxed

Structure (POSCAR):
```
TmTiPt2
1.0
3.209 0.000 0.000
0.000 3.209 0.000
0.000 0.000 7.057
Tm Ti Pt
1 1 2
Direct
0.000 0.000 0.000
0.000 0.000 0.500
0.500 0.500 0.290
0.500 0.500 0.710
```

## Properties
Its electronic total energy is -28.55 eV per formula unit. The calculation puts the energy above the lowest structure with this stoichiometry at 0.00 kJ per mole of atoms. As for the formation energy: -1026 meV per atom. For the density of states at the Fermi level, the calculation gives 0.82 states/eV/atom. As for the space group: No. 123.



Entry 17:
Material: Pm6PrSmY2
Method: DFT, PBE
State: relaxed

Structure (POSCAR):
```
Pm6PrSmY2
1.0
4.716 -7.629 0.000
4.716 7.629 0.000
-1.087 0.000 9.591
Pm Pr Sm Y
12 2 2 4
Direct
0.014 0.561 0.182
0.108 0.760 0.558
0.240 0.892 0.942
0.295 0.520 0.383
0.439 0.986 0.318
0.480 0.705 0.117
0.520 0.295 0.883
0.561 0.014 0.682
0.705 0.480 0.617
0.760 0.108 0.058
0.892 0.240 0.442
0.986 0.439 0.818
0.407 0.593 0.750
0.593 0.407 0.250
0.036 0.964 0.250
0.964 0.036 0.750
0.199 0.294 0.050
0.294 0.199 0.550
0.706 0.801 0.450
0.801 0.706 0.950
```

## Properties
Its electronic total energy is -49.76 eV per formula unit. As for the formation energy: 117 meV per atom. For the density of states at the Fermi level, the calculation gives 1.48 states/eV/atom. As for the space group: No. 15.



Entry 18:
Material: TlPtN2O
Method: DFT, PBE
State: relaxed

Structure (POSCAR):
```
TlPtN2O
1.0
3.873 0.000 0.000
0.000 3.873 0.000
0.000 0.000 4.860
Tl Pt N O
1 1 2 1
Direct
0.000 0.000 0.000
0.500 0.500 0.000
0.000 0.500 0.500
0.500 0.000 0.500
0.000 0.000 0.500
```

## Properties
Its electronic total energy is -19.49 eV per formula unit. For the uncorrected formation energy, the calculation gives 2.1044 eV per atom. For the density of states at the Fermi level, the calculation gives 0.58 states/eV/atom. As for the space group: No. 123.